{"formula": "Ca2ZnRh", "functional": "PBE", "state": "relaxed", "magnetic_moment_mub_per_cell": 0.0, "formation_enthalpy_0k_kj_per_mol_fu": -112, "final_energy_ev_per_cell": -27.58, "spacegroup": "Cm", "cell": [[11.404, 0.000, 0.000], [0.000, 3.614, 0.000], [-2.016, 0.000, 4.457]], "species": ["Ca", "Ca", "Ca", "Ca", "Zn", "Zn", "Rh", "Rh"], "frac_coords": [[0.000, 0.000, 0.000], [0.208, 0.000, 0.702], [0.500, 0.500, 0.000], [0.708, 0.500, 0.702], [0.287, 0.500, 0.281], [0.787, 0.000, 0.281], [0.457, 0.000, 0.460], [0.957, 0.500, 0.460]]}

---

{"formula": "CaZn2Rh", "functional": "PBE", "state": "relaxed", "magnetic_moment_mub_per_cell": 0.0, "formation_enthalpy_0k_kj_per_mol_fu": -69, "final_energy_ev_per_cell": -12.62, "spacegroup": "Pmmm", "cell": [[4.053, 0.000, 0.000], [0.000, 4.069, 0.000], [0.000, 0.000, 4.292]], "species": ["Ca", "Zn", "Zn", "Rh"], "frac_coords": [[0.000, 0.000, 0.000], [0.000, 0.500, 0.500], [0.500, 0.000, 0.500], [0.500, 0.500, 0.000]]}

---

{"formula": "Ca4ZnRh", "functional": "PBE", "state": "relaxed", "magnetic_moment_mub_per_cell": 0.0, "relative_energy_mev_per_atom": 921.5, "formation_enthalpy_0k_kj_per_mol_fu": 367, "final_energy_ev_per_cell": -12.83, "spacegroup": "F-43m", "cell": [[0.000, 4.379, 4.379], [4.379, 0.000, 4.379], [4.379, 4.379, 0.000]], "species": ["Ca", "Ca", "Ca", "Ca", "Zn", "Rh"], "frac_coords": [[0.124, 0.124, 0.124], [0.124, 0.124, 0.627], [0.124, 0.627, 0.124], [0.627, 0.124, 0.124], [0.500, 0.500, 0.500], [0.750, 0.750, 0.750]]}

---

{"formula": "CaZn2Rh", "functional": "PBE", "state": "relaxed", "magnetic_moment_mub_per_cell": 0.0, "formation_enthalpy_0k_kj_per_mol_fu": -85, "final_energy_ev_per_cell": -12.79, "spacegroup": "Pmm2", "cell": [[3.491, 0.000, 0.000], [0.000, 4.368, 0.000], [0.000, 0.000, 5.215]], "species": ["Ca", "Zn", "Zn", "Rh"], "frac_coords": [[0.000, 0.000, 0.000], [0.500, 0.000, 0.523], [0.500, 0.500, 0.273], [0.500, 0.500, 0.777]]}